The following is a DFT calculation (PBE) of a relaxed Rb2Ge4Pt5 crystal.

Lattice parameters (Å, degrees): 7.001 7.245 6.694 75.36 58.47 61.11
Fractional coordinates of all 11 atoms:
1 Ge 0.788 0.679 0.745
2 Ge 0.533 0.679 0.255
3 Rb 0.860 0.000 0.280
4 Pt 0.000 0.500 0.000
5 Ge 0.467 0.321 0.745
6 Rb 0.140 0.000 0.720
7 Ge 0.212 0.321 0.255
8 Pt 0.250 0.500 0.500
9 Pt 0.750 0.500 0.500
10 Pt 0.500 0.500 0.000
11 Pt 0.500 0.000 0.000

formation enthalpy at 0 K	-10.1	kcal/mol of atoms
energy above the lowest structure with this stoichiometry	0	meV per atom
theoretical density	9.42	Mg/m³
SG	Fmmm, No. 69

=====

The following is a DFT calculation (PBE) of a relaxed ZrScS2 crystal.

Lattice parameters (Å, degrees): 8.439 8.439 8.439 24.50 24.50 24.50
Fractional coordinates of all 4 atoms:
1 Sc 0.000 0.000 0.000
2 S 0.103 0.103 0.103
3 S 0.897 0.897 0.897
4 Zr 0.500 0.500 0.500

energy above the lowest structure with this stoichiometry	451	meV per atom
formation energy (no corrections)	-1.21	eV/atom
theoretical density	3.66	Mg/m³
SG	R-3m, No. 166

=====

The following is a DFT calculation (PBE) of a relaxed KNiBr6 crystal.

Lattice parameters (Å, degrees): 6.759 8.004 6.566 66.79 73.71 52.29
Site moments in Bohr magnetons follow the coordinates.
Fractional coordinates of all 8 atoms:
1 Ni 0.000 0.000 0.000  0.16
2 Br 0.894 0.921 0.758  0.06
3 Br 0.957 0.663 0.334  0.00
4 Br 0.043 0.337 0.666  0.00
5 Br 0.106 0.079 0.242  0.06
6 Br 0.575 0.240 0.081  0.06
7 K 0.500 0.500 0.500  0.00
8 Br 0.425 0.760 0.919  0.06

formation energy (no corrections)	-0.49	eV/atom
theoretical density	3.72	Mg/m³
SG	P-1, No. 2

=====

The following is a DFT calculation (PBE) of a relaxed Li2PaPt3 crystal.

Lattice parameters (Å, degrees): 4.619 7.179 6.439 90.00 90.00 71.24
Fractional coordinates of all 12 atoms:
1 Pt 0.834 0.332 0.266
2 Pt 0.834 0.332 0.734
3 Li 0.327 0.346 0.500
4 Pa 0.655 0.689 0.000
5 Li 0.673 0.654 0.500
6 Pt 0.500 0.000 0.283
7 Li 0.000 0.000 0.500
8 Pt 0.166 0.668 0.266
9 Pa 0.345 0.311 0.000
10 Pt 0.166 0.668 0.734
11 Li 0.000 0.000 0.000
12 Pt 0.500 0.000 0.717

formation enthalpy at 0 K	-18.0	kcal/mol of atoms
theoretical density	13.64	Mg/m³
SG	Cmmm, No. 65

=====

The following is a DFT calculation (PBE) of a relaxed ScNbCoMo crystal.

Lattice parameters (Å, degrees): 4.491 4.491 4.491 60.00 60.00 60.00
Fractional coordinates of all 4 atoms:
1 Mo 0.750 0.750 0.750
2 Nb 0.500 0.500 0.500
3 Co 0.250 0.250 0.250
4 Sc 0.000 0.000 0.000

formation enthalpy at 0 K	-1.0	kcal/mol of atoms
theoretical density	7.59	Mg/m³
SG	F-43m, No. 216

=====

The following is a DFT calculation (PBE) of a relaxed LiSc5Tl3 crystal.

Lattice parameters (Å, degrees): 6.240 8.723 8.723 120.00 90.00 90.00
Fractional coordinates of all 18 atoms:
1 Sc 0.000 0.667 0.333
2 Tl 0.250 0.000 0.349
3 Sc 0.250 0.312 0.312
4 Tl 0.250 0.651 0.651
5 Sc 0.000 0.333 0.667
6 Tl 0.750 0.000 0.651
7 Sc 0.750 0.000 0.312
8 Sc 0.250 0.688 0.000
9 Li 0.000 0.000 0.000
10 Tl 0.750 0.651 0.000
11 Li 0.500 0.000 0.000
12 Tl 0.750 0.349 0.349
13 Sc 0.750 0.312 0.000
14 Sc 0.250 0.000 0.688
15 Sc 0.500 0.667 0.333
16 Tl 0.250 0.349 0.000
17 Sc 0.750 0.688 0.688
18 Sc 0.500 0.333 0.667

formation enthalpy at 0 K	-6.3	kcal/mol of atoms
theoretical density	6.82	Mg/m³
SG	P6_3/mcm, No. 193

=====

The following is a DFT calculation (PBE) of a relaxed SmMg6Cu6 crystal.

Lattice parameters (Å, degrees): 5.248 7.021 7.021 81.55 68.05 68.05
Fractional coordinates of all 13 atoms:
1 Mg 0.309 0.191 0.191
2 Cu 0.500 0.770 0.230
3 Cu 0.500 0.500 0.000
4 Cu 0.000 0.500 0.000
5 Mg 0.654 0.346 0.346
6 Mg 0.000 0.339 0.661
7 Mg 0.691 0.809 0.809
8 Cu 0.500 0.230 0.770
9 Cu 0.000 0.000 0.500
10 Cu 0.500 0.000 0.500
11 Sm 0.000 0.000 0.000
12 Mg 0.000 0.661 0.339
13 Mg 0.346 0.654 0.654

formation enthalpy at 0 K	-2.7	kcal/mol of atoms
theoretical density	5.05	Mg/m³
SG	Immm, No. 71

=====

The following is a DFT calculation (PBE) of a relaxed PrDyCo2 crystal.

Lattice parameters (Å, degrees): 3.421 3.421 6.839 90.00 90.00 90.00
Site moments in Bohr magnetons follow the coordinates.
Fractional coordinates of all 4 atoms:
1 Pr 0.500 0.500 0.500  -0.16
2 Dy 0.500 0.500 0.000  -0.26
3 Co 0.000 0.000 0.764  0.80
4 Co 0.000 0.000 0.236  0.80

formation enthalpy at 0 K	-0.2	kcal/mol of atoms
energy above the lowest structure with this stoichiometry	97	meV per atom
theoretical density	8.74	Mg/m³
SG	P4/mmm, No. 123

=====

The following is a DFT calculation (PBE) of a relaxed SnSeN2O crystal.

Lattice parameters (Å, degrees): 4.025 4.025 5.744 90.00 90.00 90.00
Site moments in Bohr magnetons follow the coordinates.
Fractional coordinates of all 5 atoms:
1 O 0.500 0.500 0.500  0.36
2 Se 0.000 0.000 0.500  0.12
3 Sn 0.000 0.000 0.000  -0.06
4 N 0.500 0.000 0.000  0.98
5 N 0.000 0.500 0.000  0.98

formation energy (no corrections)	1.78	eV/atom
theoretical density	4.31	Mg/m³
SG	P4/mmm, No. 123

=====

The following is a DFT calculation (PBE) of a relaxed CdFeMo2S crystal.

Lattice parameters (Å, degrees): 4.480 4.141 4.480 90.00 90.00 90.00
Site moments in Bohr magnetons follow the coordinates.
Fractional coordinates of all 5 atoms:
1 Cd 0.500 0.500 0.500  0.00
2 S 0.000 0.000 0.000  0.00
3 Fe 0.000 0.500 0.000  1.67
4 Mo 0.500 0.000 0.000  -0.15
5 Mo 0.000 0.000 0.500  -0.13

formation energy (no corrections)	0.36	eV/atom
theoretical density	7.84	Mg/m³
SG	P4/mmm, No. 123

=====

The following is a DFT calculation (PBE) of a relaxed PmDy5Tm crystal.

Lattice parameters (Å, degrees): 6.739 6.739 13.561 62.15 62.15 59.82
Fractional coordinates of all 14 atoms:
1 Dy 0.840 0.160 0.250
2 Dy 0.313 0.344 0.001
3 Dy 0.344 0.313 0.501
4 Tm 0.000 0.000 0.000
5 Dy 0.687 0.656 0.999
6 Dy 0.393 0.158 0.256
7 Pm 0.719 0.281 0.750
8 Pm 0.281 0.719 0.250
9 Tm 0.000 0.000 0.500
10 Dy 0.607 0.842 0.744
11 Dy 0.842 0.607 0.244
12 Dy 0.160 0.840 0.750
13 Dy 0.656 0.687 0.499
14 Dy 0.158 0.393 0.756

formation enthalpy at 0 K	4.4	kcal/mol of atoms
energy above the lowest structure with this stoichiometry	0	meV per atom
theoretical density	8.34	Mg/m³
SG	C2/c, No. 15

=====

The following is a DFT calculation (PBE) of a relaxed BaPr2MoN4 crystal.

Lattice parameters (Å, degrees): 3.623 6.684 12.529 90.00 90.00 105.72
Fractional coordinates of all 16 atoms:
1 Mo 0.820 0.640 0.750
2 N 0.605 0.211 0.250
3 Pr 0.629 0.259 0.462
4 N 0.000 0.000 0.500
5 Mo 0.180 0.360 0.250
6 Pr 0.371 0.741 0.538
7 Ba 0.918 0.835 0.250
8 Ba 0.082 0.165 0.750
9 N 0.258 0.517 0.377
10 N 0.742 0.483 0.877
11 Pr 0.629 0.259 0.038
12 N 0.742 0.483 0.623
13 N 0.395 0.789 0.750
14 Pr 0.371 0.741 0.962
15 N 0.000 0.000 0.000
16 N 0.258 0.517 0.123

formation energy (no corrections)	-0.91	eV/atom
theoretical density	6.49	Mg/m³
SG	Cmcm, No. 63